Record 1
Computed, not measured: an optimized crystal structure of BiOF at the GGA-PBEsol level of DFT.

POSCAR file:
```
BiOF
1.0
3.964 0.000 0.000
0.000 3.964 0.000
0.000 0.000 5.727
Bi O F
2 2 2
Direct
0.000 0.500 0.717 Bi
0.500 0.000 0.283 Bi
0.000 0.000 0.500 O
0.500 0.500 0.500 O
0.000 0.000 0.000 F
0.500 0.500 0.000 F
```

## Properties
The calculation puts the density of states at the Fermi level at 0.0 states/eV/f.u. Its uncorrected formation energy is -5.593 eV per formula unit. As for the spin magnetization: 0.000 μB per atom.

=====

Record 2
Computed, not measured: an optimized crystal structure of Bi5O7F at the GGA-PBEsol level of DFT.

POSCAR file:
```
Bi5O7F
1.0
-2.286 1.340 -2.967
-5.994 -6.747 4.239
0.594 12.384 5.135
Bi O F
10 14 2
Direct
0.521 0.043 0.257 Bi
0.100 0.200 0.522 Bi
0.711 0.422 0.845 Bi
0.614 0.228 0.067 Bi
0.211 0.422 0.356 Bi
0.789 0.578 0.644 Bi
0.386 0.772 0.933 Bi
0.289 0.578 0.155 Bi
0.900 0.800 0.478 Bi
0.479 0.957 0.743 Bi
0.075 0.150 0.335 O
0.548 0.096 0.433 O
0.675 0.351 0.668 O
0.628 0.256 0.241 O
0.269 0.537 0.920 O
0.218 0.435 0.542 O
0.173 0.346 0.140 O
0.827 0.654 0.860 O
0.782 0.565 0.458 O
0.731 0.463 0.080 O
0.372 0.744 0.759 O
0.325 0.649 0.332 O
0.452 0.904 0.567 O
0.925 0.850 0.665 O
0.046 0.092 0.912 F
0.954 0.908 0.088 F
```

## Properties
The calculation puts the density of states at the Fermi level at 0.0 states/eV/f.u. Its uncorrected formation energy is -17.184 eV per formula unit. As for the spin magnetization: 0.000 μB per atom.